VASP calculation (PBE+U) on a geometry-optimized ReWO2 structure.

## Properties
**Calculated total energy**: -0.49578 Ry per atom

a b c (Å): 4.0149 4.0149 4.0149
angles (deg): 60.00 60.00 60.00
With the nearest neighbours (Å) after each atom.
Fractional positions:
1 Re 0.5000 0.5000 0.5000  8 O 2.46
2 O 0.7500 0.7500 0.7500  4 W 2.46, 4 Re 2.46
3 W 0.0000 0.0000 0.0000  8 O 2.46
4 O 0.2500 0.2500 0.2500  4 W 2.46, 4 Re 2.46